[1]
The following is a PBE calculation of an optimized crystal structure of Ag8SeS5, from Alexandria via LeMat-Bulk.

For the total energy, the calculation gives -3.267 eV/atom. Its formation energy (no corrections) is 1.2 eV per formula unit.

The structure belongs to space group F-43m (No. 216); the cell edges are 10.777, 10.777 and 10.777 Å and the angles 90.00°, 90.00° and 90.00°. The asymmetric unit holds Ag at (0.113, 0.113, 0.387), Ag at (0.131, 0.131, 0.869), Se at (0.250, 0.250, 0.250), S at (0.000, 0.000, 0.000) and S at (0.127, 0.127, 0.627).



[2]
The following is a PBE calculation of an optimized crystal structure of Ag8Se6S, from Alexandria via LeMat-Bulk.

For the total energy, the calculation gives -3.203 eV/atom. Its formation energy (no corrections) is -0.2 eV per formula unit.

The structure belongs to space group R-3 (No. 148, hexagonal axes); the cell edges are 10.2039, 10.2039 and 12.5140 Å and the angles 90.00°, 90.00° and 120.00°. The asymmetric unit holds Ag at (0.0000, 0.0000, 0.2173), Ag at (0.0437, 0.5219, 0.7400), Se at (0.0531, 0.2765, 0.2772) and S at (0.0000, 0.0000, 0.0000).



[3]
The following is a PBE calculation of an optimized crystal structure of Ag12Se5S3, from Alexandria via LeMat-Bulk.

For the total energy, the calculation gives -3.152 eV/atom. Its formation energy (no corrections) is 1.0 eV per formula unit.

The structure belongs to space group Ia-3d (No. 230); the cell edges are 15.354, 15.354 and 15.354 Å and the angles 90.00°, 90.00° and 90.00°. The asymmetric unit holds Ag at (0.024, 0.088, 0.650), Se at (0.000, 0.000, 0.000), Se at (0.000, 0.250, 0.375) and S at (0.000, 0.250, 0.125).



[4]
The following is a PBE calculation of an optimized crystal structure of Ag2SeS, from Alexandria via LeMat-Bulk.

The calculation puts the energy above the most stable polymorph in this dataset at 0 kJ/mol of formula units. For the total energy, the calculation gives -3.274 eV/atom. Its formation energy (no corrections) is 0.2 eV per formula unit.

The structure belongs to space group R-3m (No. 166, hexagonal axes); the cell edges are 3.8175, 3.8175 and 18.7488 Å and the angles 90.00°, 90.00° and 120.00°. The asymmetric unit holds Ag at (0.0000, 0.0000, 0.2459), Se at (0.0000, 0.0000, 0.0000) and S at (0.0000, 0.0000, 0.5000).



[5]
The following is a PBE calculation of an optimized crystal structure of AgSe3S, from Alexandria via LeMat-Bulk.

The calculation puts the energy above the most stable polymorph in this dataset at 0 kJ/mol of formula units. For the total energy, the calculation gives -2.903 eV/atom. Its formation energy (no corrections) is 2.9 eV per formula unit.

The structure belongs to space group Pm-3m (No. 221); the cell edges are 4.883, 4.883 and 4.883 Å and the angles 90.00°, 90.00° and 90.00°. The asymmetric unit holds Ag at (0.000, 0.000, 0.000), Se at (0.000, 0.500, 0.500) and S at (0.500, 0.500, 0.500).



[6]
The following is a PBE calculation of an optimized crystal structure of Ag2SeS3, from Alexandria via LeMat-Bulk.

For the total energy, the calculation gives -3.446 eV/atom. Its formation energy (no corrections) is 0.9 eV per formula unit.

The structure belongs to space group C2/c (No. 15); the cell edges are 12.151, 5.416 and 7.599 Å and the angles 90.00°, 108.28° and 90.00°. The asymmetric unit holds Ag at (0.173, 0.002, 0.086), Se at (0.000, 0.471, 0.250), S at (0.000, 0.065, 0.250) and S at (0.159, 0.498, 0.581).